Record 1
First-principles (GGA-PBE) data for an optimized crystal structure of RbYH2, as listed in Alexandria via LeMat-Bulk.

Unit cell a=6.705 b=6.705 c=6.705 alpha=90.00 beta=90.00 gamma=90.00
Fractional coordinates of all 16 atoms:
1 Rb 0.000 0.000 0.000
2 Rb 0.000 0.500 0.500
3 Rb 0.500 0.000 0.500
4 Rb 0.500 0.500 0.000
5 Y 0.000 0.000 0.500
6 Y 0.000 0.500 0.000
7 Y 0.500 0.000 0.000
8 Y 0.500 0.500 0.500
9 H 0.250 0.250 0.250
10 H 0.250 0.250 0.750
11 H 0.250 0.750 0.250
12 H 0.250 0.750 0.750
13 H 0.750 0.250 0.250
14 H 0.750 0.250 0.750
15 H 0.750 0.750 0.250
16 H 0.750 0.750 0.750

Output
D(E_F) (states/eV per atom): 0.88
Relative energy among the computed polymorphs (meV per atom): 650.0
V (Å³/cell): 301.39
Space group: Fm-3m, No. 225
Magnetization (μB/f.u.): 1.5

=====

Record 2
First-principles (GGA-PBE) data for an optimized crystal structure of Rb2YH4, as listed in Alexandria via LeMat-Bulk.

Unit cell a=4.373 b=4.373 c=15.045 alpha=90.00 beta=90.00 gamma=90.00
Fractional coordinates of all 14 atoms:
1 Rb 0.000 0.000 0.155
2 Rb 0.000 0.000 0.845
3 Rb 0.500 0.500 0.345
4 Rb 0.500 0.500 0.655
5 Y 0.000 0.000 0.500
6 Y 0.500 0.500 0.000
7 H 0.000 0.000 0.351
8 H 0.000 0.000 0.649
9 H 0.000 0.500 0.000
10 H 0.000 0.500 0.500
11 H 0.500 0.000 0.000
12 H 0.500 0.000 0.500
13 H 0.500 0.500 0.149
14 H 0.500 0.500 0.851

Output
D(E_F) (states/eV per atom): 0.39
V (Å³/cell): 287.73
Space group: I4/mmm, No. 139
Electronic total energy (eV/atom): -3.3612
Magnetization (μB/f.u.): 0.0

=====

Record 3
First-principles (GGA-PBE) data for an optimized crystal structure of Rb3YH, as listed in Alexandria via LeMat-Bulk.

Unit cell a=6.168 b=6.168 c=6.168 alpha=90.00 beta=90.00 gamma=90.00
Fractional coordinates of all 5 atoms:
1 Rb 0.000 0.000 0.500
2 Rb 0.000 0.500 0.000
3 Rb 0.500 0.000 0.000
4 Y 0.500 0.500 0.500
5 H 0.000 0.000 0.000

Output
D(E_F) (states/eV per atom): 1.92
V (Å³/cell): 234.65
Space group: Pm-3m, No. 221
Electronic total energy (eV/atom): -2.0503
Magnetization (μB/f.u.): 1.9

=====

Record 4
First-principles (GGA-PBE) data for an optimized crystal structure of RbYH2, as listed in Alexandria via LeMat-Bulk.

Unit cell a=6.055 b=6.055 c=11.022 alpha=90.00 beta=90.00 gamma=90.00
Fractional coordinates of all 16 atoms:
1 Rb 0.000 0.000 0.000
2 Rb 0.000 0.500 0.250
3 Rb 0.500 0.000 0.750
4 Rb 0.500 0.500 0.500
5 Y 0.000 0.000 0.500
6 Y 0.000 0.500 0.750
7 Y 0.500 0.000 0.250
8 Y 0.500 0.500 0.000
9 H 0.068 0.250 0.625
10 H 0.250 0.568 0.875
11 H 0.250 0.932 0.375
12 H 0.432 0.250 0.125
13 H 0.568 0.750 0.125
14 H 0.750 0.068 0.375
15 H 0.750 0.432 0.875
16 H 0.932 0.750 0.625

Output
D(E_F) (states/eV per atom): 0.07
Relative energy among the computed polymorphs (meV per atom): 0.0
V (Å³/cell): 404.17
Space group: I-42d, No. 122
Magnetization (μB/f.u.): 0.0

=====

Record 5
First-principles (GGA-PBE) data for an optimized crystal structure of Rb2Zn2H7, as listed in Alexandria via LeMat-Bulk.

Unit cell a=6.583 b=6.583 c=3.734 alpha=90.00 beta=90.00 gamma=106.67
Fractional coordinates of all 11 atoms:
1 Rb 0.243 0.757 0.000
2 Rb 0.757 0.243 0.000
3 Zn 0.221 0.221 0.500
4 Zn 0.779 0.779 0.500
5 H 0.000 0.000 0.500
6 H 0.127 0.422 0.500
7 H 0.239 0.239 0.000
8 H 0.422 0.127 0.500
9 H 0.578 0.873 0.500
10 H 0.761 0.761 0.000
11 H 0.873 0.578 0.500

Output
D(E_F) (states/eV per atom): 0.16
V (Å³/cell): 154.99
Space group: Cmmm, No. 65
Electronic total energy (eV/atom): -2.5436
Magnetization (μB/f.u.): 0.0

=====

Record 6
First-principles (GGA-PBE) data for an optimized crystal structure of RbZnH3, as listed in Alexandria via LeMat-Bulk.

Unit cell a=5.145 b=5.145 c=5.145 alpha=90.00 beta=90.00 gamma=90.00
Fractional coordinates of all 5 atoms:
1 Rb 0.000 0.000 0.000
2 Zn 0.500 0.500 0.500
3 H 0.000 0.000 0.500
4 H 0.000 0.500 0.000
5 H 0.500 0.000 0.000

Output
D(E_F) (states/eV per atom): 0.41
Relative energy among the computed polymorphs (meV per atom): 1253.9
V (Å³/cell): 136.19
Space group: Pm-3m, No. 221
Magnetization (μB/f.u.): 2.0

=====

Record 7
First-principles (GGA-PBE) data for an optimized crystal structure of RbZn2H, as listed in Alexandria via LeMat-Bulk.

Unit cell a=7.759 b=7.759 c=7.759 alpha=90.00 beta=90.00 gamma=90.00
Fractional coordinates of all 16 atoms:
1 Rb 0.000 0.000 0.000
2 Rb 0.000 0.500 0.500
3 Rb 0.500 0.000 0.500
4 Rb 0.500 0.500 0.000
5 Zn 0.250 0.250 0.250
6 Zn 0.250 0.250 0.750
7 Zn 0.250 0.750 0.250
8 Zn 0.250 0.750 0.750
9 Zn 0.750 0.250 0.250
10 Zn 0.750 0.250 0.750
11 Zn 0.750 0.750 0.250
12 Zn 0.750 0.750 0.750
13 H 0.000 0.000 0.500
14 H 0.000 0.500 0.000
15 H 0.500 0.000 0.000
16 H 0.500 0.500 0.500

Output
D(E_F) (states/eV per atom): 0.08
Relative energy among the computed polymorphs (meV per atom): 292.5
V (Å³/cell): 467.15
Space group: Fm-3m, No. 225
Magnetization (μB/f.u.): 0.0

=====

Record 8
First-principles (GGA-PBE) data for an optimized crystal structure of Rb12Zn3H5, as listed in Alexandria via LeMat-Bulk.

Unit cell a=16.706 b=16.706 c=16.706 alpha=109.47 beta=109.47 gamma=109.47
Fractional coordinates of all 80 atoms:
1 Rb 0.018 0.200 0.118
2 Rb 0.018 0.318 0.899
3 Rb 0.081 0.700 0.682
4 Rb 0.081 0.882 0.399
5 Rb 0.101 0.618 0.419
6 Rb 0.101 0.982 0.682
7 Rb 0.118 0.018 0.200
8 Rb 0.118 0.601 0.919
9 Rb 0.182 0.200 0.581
10 Rb 0.182 0.482 0.601
11 Rb 0.200 0.118 0.018
12 Rb 0.200 0.581 0.182
13 Rb 0.300 0.318 0.919
14 Rb 0.300 0.482 0.382
15 Rb 0.318 0.899 0.018
16 Rb 0.318 0.919 0.300
17 Rb 0.382 0.300 0.482
18 Rb 0.382 0.581 0.899
19 Rb 0.399 0.081 0.882
20 Rb 0.399 0.818 0.518
21 Rb 0.419 0.101 0.618
22 Rb 0.419 0.818 0.800
23 Rb 0.482 0.382 0.300
24 Rb 0.482 0.601 0.182
25 Rb 0.518 0.399 0.818
26 Rb 0.518 0.618 0.700
27 Rb 0.581 0.182 0.200
28 Rb 0.581 0.899 0.382
29 Rb 0.601 0.182 0.482
30 Rb 0.601 0.919 0.118
31 Rb 0.618 0.419 0.101
32 Rb 0.618 0.700 0.518
33 Rb 0.682 0.081 0.700
34 Rb 0.682 0.101 0.982
35 Rb 0.700 0.518 0.618
36 Rb 0.700 0.682 0.081
37 Rb 0.800 0.419 0.818
38 Rb 0.800 0.882 0.982
39 Rb 0.818 0.518 0.399
40 Rb 0.818 0.800 0.419
41 Rb 0.882 0.399 0.081
42 Rb 0.882 0.982 0.800
43 Rb 0.899 0.018 0.318
44 Rb 0.899 0.382 0.581
45 Rb 0.919 0.118 0.601
46 Rb 0.919 0.300 0.318
47 Rb 0.982 0.682 0.101
48 Rb 0.982 0.800 0.882
49 Zn 0.125 0.250 0.375
50 Zn 0.125 0.375 0.750
51 Zn 0.250 0.375 0.125
52 Zn 0.250 0.875 0.625
53 Zn 0.375 0.125 0.250
54 Zn 0.375 0.750 0.125
55 Zn 0.625 0.250 0.875
56 Zn 0.625 0.875 0.750
57 Zn 0.750 0.125 0.375
58 Zn 0.750 0.625 0.875
59 Zn 0.875 0.625 0.250
60 Zn 0.875 0.750 0.625
61 H 0.000 0.000 0.000
62 H 0.000 0.000 0.500
63 H 0.000 0.500 0.000
64 H 0.000 0.500 0.500
65 H 0.125 0.750 0.875
66 H 0.125 0.875 0.250
67 H 0.250 0.125 0.875
68 H 0.250 0.625 0.375
69 H 0.375 0.250 0.625
70 H 0.375 0.625 0.750
71 H 0.500 0.000 0.000
72 H 0.500 0.000 0.500
73 H 0.500 0.500 0.000
74 H 0.500 0.500 0.500
75 H 0.625 0.375 0.250
76 H 0.625 0.750 0.375
77 H 0.750 0.375 0.625
78 H 0.750 0.875 0.125
79 H 0.875 0.125 0.750
80 H 0.875 0.250 0.125

Output
D(E_F) (states/eV per atom): 0.73
V (Å³/cell): 3588.99
Space group: Ia-3d, No. 230
Electronic total energy (eV/atom): -1.5204
Magnetization (μB/f.u.): 3.2

=====

Record 9
First-principles (GGA-PBE) data for an optimized crystal structure of RbZn2H6, as listed in Alexandria via LeMat-Bulk.

Unit cell a=6.881 b=6.881 c=5.422 alpha=111.17 beta=111.17 gamma=29.69
Fractional coordinates of all 9 atoms:
1 Rb 0.000 0.000 0.000
2 Zn 0.222 0.222 0.691
3 Zn 0.778 0.778 0.309
4 H 0.094 0.094 0.585
5 H 0.271 0.271 0.397
6 H 0.331 0.331 0.947
7 H 0.669 0.669 0.053
8 H 0.729 0.729 0.603
9 H 0.906 0.906 0.415

Output
D(E_F) (states/eV per atom): 0.10
V (Å³/cell): 117.94
Space group: C2/m, No. 12
Electronic total energy (eV/atom): -2.4779
Magnetization (μB/f.u.): 0.0

=====

Record 10
First-principles (GGA-PBE) data for an optimized crystal structure of RbZnH3, as listed in Alexandria via LeMat-Bulk.

Unit cell a=6.574 b=5.160 c=11.446 alpha=90.00 beta=114.49 gamma=90.00
Fractional coordinates of all 20 atoms:
1 Rb 0.223 0.242 0.179
2 Rb 0.223 0.258 0.679
3 Rb 0.777 0.742 0.321
4 Rb 0.777 0.758 0.821
5 Zn 0.354 0.678 0.962
6 Zn 0.354 0.822 0.462
7 Zn 0.646 0.178 0.538
8 Zn 0.646 0.322 0.038
9 H 0.232 0.744 0.554
10 H 0.232 0.756 0.054
11 H 0.259 0.735 0.314
12 H 0.259 0.765 0.814
13 H 0.358 0.175 0.461
14 H 0.358 0.325 0.961
15 H 0.642 0.675 0.039
16 H 0.642 0.825 0.539
17 H 0.741 0.235 0.186
18 H 0.741 0.265 0.686
19 H 0.768 0.244 0.946
20 H 0.768 0.256 0.446

Output
D(E_F) (states/eV per atom): 0.00
Relative energy among the computed polymorphs (meV per atom): 0.0
V (Å³/cell): 353.35
Space group: P2_1/c, No. 14
Magnetization (μB/f.u.): 0.0